[1]
PdS | PBEsol | optimized geometry

Cell: 6.3913 6.3913 6.5747 Å, 90.00 90.00 90.00°
Fractional positions:
Pd: 0.0000 0.0000 0.2500
Pd: 0.0000 0.0000 0.7500
Pd: 0.0000 0.5000 0.0000
Pd: 0.2583 0.5288 0.5000
Pd: 0.4712 0.2583 0.0000
Pd: 0.5000 0.0000 0.5000
Pd: 0.5288 0.7417 0.0000
Pd: 0.7417 0.4712 0.5000
S: 0.1945 0.3068 0.2280
S: 0.1945 0.3068 0.7720
S: 0.3068 0.8055 0.2720
S: 0.3068 0.8055 0.7280
S: 0.6932 0.1945 0.2720
S: 0.6932 0.1945 0.7280
S: 0.8055 0.6932 0.2280
S: 0.8055 0.6932 0.7720

Electronic total energy = -0.2059 hartree per atom
Total magnetic moment = 0.00 μB per formula unit
SG = P4_2/m, No. 84

---

[2]
Pd3SeS | PBEsol | optimized geometry

Cell: 4.6048 4.6048 4.6048 Å, 90.00 90.00 90.00°
Fractional positions:
Pd: 0.0000 0.0000 0.5000
Pd: 0.0000 0.5000 0.0000
Pd: 0.5000 0.0000 0.0000
Se: 0.0000 0.0000 0.0000
S: 0.5000 0.5000 0.5000

Electronic total energy = -0.1740 hartree per atom
Total magnetic moment = 0.00 μB per formula unit
SG = Pm-3m, No. 221

---

[3]
PdSeS3 | PBEsol | optimized geometry

Cell: 4.5829 4.5829 4.5829 Å, 90.00 90.00 90.00°
Fractional positions:
Pd: 0.0000 0.0000 0.0000
Se: 0.5000 0.5000 0.5000
S: 0.0000 0.0000 0.5000
S: 0.0000 0.5000 0.0000
S: 0.5000 0.0000 0.0000

Electronic total energy = -0.1460 hartree per atom
Total magnetic moment = 0.00 μB per formula unit
SG = Pm-3m, No. 221

---

[4]
SrPdSeS2 | PBEsol | optimized geometry

Cell: 4.6983 4.6983 4.9812 Å, 90.00 90.00 90.00°
Fractional positions:
Sr: 0.0000 0.0000 0.0000
Pd: 0.5000 0.5000 0.5000
Se: 0.5000 0.5000 0.0000
S: 0.0000 0.5000 0.5000
S: 0.5000 0.0000 0.5000

Electronic total energy = -0.1757 hartree per atom
Total magnetic moment = 0.00 μB per formula unit
SG = P4/mmm, No. 123

---

Number 1: uncorrected formation energy -430 meV/atom. Number 2: uncorrected formation energy 488 meV/atom. Number 3: uncorrected formation energy 619 meV/atom. Number 4: uncorrected formation energy -697 meV/atom.